(one)
# GdThH PBE-GGA relaxed
# total magnetization = 28.5 μB/cell
# crystal system = monoclinic
data_GdThH
_space_group_name_H-M_alt 'P 1 21/c 1'
_space_group_IT_number 14
_space_group_name_Hall '-P 2ybc'
_cell_length_a 7.165
_cell_length_b 6.285
_cell_length_c 6.912
_cell_angle_alpha 90.00
_cell_angle_beta 116.27
_cell_angle_gamma 90.00
loop_
_atom_site_label
_atom_site_type_symbol
_atom_site_fract_x
_atom_site_fract_y
_atom_site_fract_z
Gd1 Gd 0.114 0.169 0.368
Th1 Th 0.391 0.672 0.623
H1 H 0.072 0.665 0.943

(two)
# GdThH PBE-GGA relaxed
# total magnetization = 7.2 μB/cell
# crystal system = trigonal
data_GdThH
_space_group_name_H-M_alt 'P 3 m 1'
_space_group_IT_number 156
_space_group_name_Hall 'P 3 -2"'
_cell_length_a 3.6129
_cell_length_b 3.6129
_cell_length_c 5.8949
_cell_angle_alpha 90.00
_cell_angle_beta 90.00
_cell_angle_gamma 120.00
loop_
_atom_site_label
_atom_site_type_symbol
_atom_site_fract_x
_atom_site_fract_y
_atom_site_fract_z
Gd1 Gd 0.0000 0.0000 0.0000
Th1 Th 0.6667 0.3333 0.5045
H1 H 0.3333 0.6667 0.7609

Quick ranking, most stable first: (one), (two).